Material: CrGaTeF2
Method: DFT, PBE+U
State: optimized geometry

Lattice parameters (Å, degrees): 4.025 4.025 6.404 90.00 90.00 90.00
Each line ends with the local moment (μB).
Element x y z (fractional)
1 F 0.000 0.500 0.000  0.01
2 Cr 0.000 0.000 0.000  3.71
3 Te 0.000 0.000 0.500  -0.01
4 F 0.500 0.000 0.000  0.01
5 Ga 0.500 0.500 0.500  0.01

Results
DFT total energy	-4.991	eV/atom